(1)
# NaPdW2 PBE-GGA optimized geometry
data_NaPdW2
_symmetry_space_group_name_H-M 'I -4 2 d'
_symmetry_Int_Tables_number 122
_symmetry_space_group_name_Hall 'I -4 2bw'
_cell_length_a 7.670
_cell_length_b 7.670
_cell_length_c 5.058
_cell_angle_alpha 90.00
_cell_angle_beta 90.00
_cell_angle_gamma 90.00
loop_
_atom_site_label
_atom_site_type_symbol
_atom_site_fract_x
_atom_site_fract_y
_atom_site_fract_z
Na1 Na 0.000 0.000 0.000
Pd1 Pd 0.000 0.000 0.500
W1 W 0.209 0.250 0.625
# Density of states at the Fermi level: 4.0 states/eV/f.u.
# Formation enthalpy at 0 K: 1321 meV per atom
# Volume: 18.59 Å³/atom

=====

(2)
# Na3PdW PBE-GGA optimized geometry
data_Na3PdW
_symmetry_space_group_name_H-M 'P m -3 m'
_symmetry_Int_Tables_number 221
_symmetry_space_group_name_Hall '-P 4 2 3'
_cell_length_a 5.353
_cell_length_b 5.353
_cell_length_c 5.353
_cell_angle_alpha 90.00
_cell_angle_beta 90.00
_cell_angle_gamma 90.00
loop_
_atom_site_label
_atom_site_type_symbol
_atom_site_fract_x
_atom_site_fract_y
_atom_site_fract_z
Na1 Na 0.000 0.000 0.500
Pd1 Pd 0.000 0.000 0.000
W1 W 0.500 0.500 0.500
# Density of states at the Fermi level: 0.5 states/eV/f.u.
# Formation enthalpy at 0 K: 1353 meV per atom
# Volume: 30.69 Å³/atom

=====

(3)
# NaYPd2 PBE-GGA optimized geometry
data_NaYPd2
_symmetry_space_group_name_H-M 'P 4/m m m'
_symmetry_Int_Tables_number 123
_symmetry_space_group_name_Hall '-P 4 2'
_cell_length_a 3.475
_cell_length_b 3.475
_cell_length_c 7.079
_cell_angle_alpha 90.00
_cell_angle_beta 90.00
_cell_angle_gamma 90.00
loop_
_atom_site_label
_atom_site_type_symbol
_atom_site_fract_x
_atom_site_fract_y
_atom_site_fract_z
Na1 Na 0.000 0.000 0.000
Y1 Y 0.000 0.000 0.500
Pd1 Pd 0.500 0.500 0.272
# Density of states at the Fermi level: 2.3 states/eV/f.u.
# Formation enthalpy at 0 K: -528 meV per atom
# Volume: 21.38 Å³/atom

=====

(4)
# NaY3Pd PBE-GGA optimized geometry
data_NaY3Pd
_symmetry_space_group_name_H-M 'P m -3 m'
_symmetry_Int_Tables_number 221
_symmetry_space_group_name_Hall '-P 4 2 3'
_cell_length_a 5.408
_cell_length_b 5.408
_cell_length_c 5.408
_cell_angle_alpha 90.00
_cell_angle_beta 90.00
_cell_angle_gamma 90.00
loop_
_atom_site_label
_atom_site_type_symbol
_atom_site_fract_x
_atom_site_fract_y
_atom_site_fract_z
Na1 Na 0.000 0.000 0.000
Y1 Y 0.000 0.000 0.500
Pd1 Pd 0.500 0.500 0.500
# Density of states at the Fermi level: 12.1 states/eV/f.u.
# Formation enthalpy at 0 K: 993 meV per atom
# Volume: 31.64 Å³/atom

=====

(5)
# NaY2Pd PBE-GGA optimized geometry
data_NaY2Pd
_symmetry_space_group_name_H-M 'F m -3 m'
_symmetry_Int_Tables_number 225
_symmetry_space_group_name_Hall '-F 4 2 3'
_cell_length_a 7.329
_cell_length_b 7.329
_cell_length_c 7.329
_cell_angle_alpha 90.00
_cell_angle_beta 90.00
_cell_angle_gamma 90.00
loop_
_atom_site_label
_atom_site_type_symbol
_atom_site_fract_x
_atom_site_fract_y
_atom_site_fract_z
Na1 Na 0.000 0.000 0.000
Y1 Y 0.250 0.250 0.250
Pd1 Pd 0.000 0.000 0.500
# Density of states at the Fermi level: 4.4 states/eV/f.u.
# Formation enthalpy at 0 K: -183 meV per atom
# Volume: 24.60 Å³/atom

=====

(6)
# Na2YPd2 PBE-GGA optimized geometry
data_Na2YPd2
_symmetry_space_group_name_H-M 'P 4/m b m'
_symmetry_Int_Tables_number 127
_symmetry_space_group_name_Hall '-P 4 2ab'
_cell_length_a 8.141
_cell_length_b 8.141
_cell_length_c 3.216
_cell_angle_alpha 90.00
_cell_angle_beta 90.00
_cell_angle_gamma 90.00
loop_
_atom_site_label
_atom_site_type_symbol
_atom_site_fract_x
_atom_site_fract_y
_atom_site_fract_z
Na1 Na 0.120 0.380 0.000
Y1 Y 0.000 0.000 0.500
Pd1 Pd 0.182 0.682 0.500
# Density of states at the Fermi level: 1.6 states/eV/f.u.
# Formation enthalpy at 0 K: -141 meV per atom
# Volume: 21.32 Å³/atom

=====

(7)
# NaY2Pd PBE-GGA optimized geometry
data_NaY2Pd
_symmetry_space_group_name_H-M 'I -4 2 d'
_symmetry_Int_Tables_number 122
_symmetry_space_group_name_Hall 'I -4 2bw'
_cell_length_a 8.333
_cell_length_b 8.333
_cell_length_c 6.673
_cell_angle_alpha 90.00
_cell_angle_beta 90.00
_cell_angle_gamma 90.00
loop_
_atom_site_label
_atom_site_type_symbol
_atom_site_fract_x
_atom_site_fract_y
_atom_site_fract_z
Na1 Na 0.000 0.000 0.000
Y1 Y 0.192 0.250 0.625
Pd1 Pd 0.000 0.000 0.500
# Density of states at the Fermi level: 3.8 states/eV/f.u.
# Formation enthalpy at 0 K: -18 meV per atom
# Volume: 28.96 Å³/atom

=====

(8)
# NaY2Pd9 PBE-GGA optimized geometry
data_NaY2Pd9
_symmetry_space_group_name_H-M 'P 4/m m m'
_symmetry_Int_Tables_number 123
_symmetry_space_group_name_Hall '-P 4 2'
_cell_length_a 4.140
_cell_length_b 4.140
_cell_length_c 12.091
_cell_angle_alpha 90.00
_cell_angle_beta 90.00
_cell_angle_gamma 90.00
loop_
_atom_site_label
_atom_site_type_symbol
_atom_site_fract_x
_atom_site_fract_y
_atom_site_fract_z
Na1 Na 0.000 0.000 0.000
Y1 Y 0.000 0.000 0.329
Pd1 Pd 0.000 0.500 0.163
Pd2 Pd 0.000 0.500 0.500
Pd3 Pd 0.500 0.500 0.000
Pd4 Pd 0.500 0.500 0.330
# Density of states at the Fermi level: 9.6 states/eV/f.u.
# Formation enthalpy at 0 K: -567 meV per atom
# Volume: 17.27 Å³/atom

=====

(9)
# NaY2Pd2 PBE-GGA optimized geometry
data_NaY2Pd2
_symmetry_space_group_name_H-M 'I 4/m m m'
_symmetry_Int_Tables_number 139
_symmetry_space_group_name_Hall '-I 4 2'
_cell_length_a 4.916
_cell_length_b 4.916
_cell_length_c 11.111
_cell_angle_alpha 90.00
_cell_angle_beta 90.00
_cell_angle_gamma 90.00
loop_
_atom_site_label
_atom_site_type_symbol
_atom_site_fract_x
_atom_site_fract_y
_atom_site_fract_z
Na1 Na 0.000 0.000 0.000
Y1 Y 0.000 0.500 0.250
Pd1 Pd 0.000 0.000 0.382
# Density of states at the Fermi level: 3.6 states/eV/f.u.
# Formation enthalpy at 0 K: -423 meV per atom
# Volume: 26.85 Å³/atom

=====

(10)
# NaY2Pd2 PBE-GGA optimized geometry
data_NaY2Pd2
_symmetry_space_group_name_H-M 'P 4/m b m'
_symmetry_Int_Tables_number 127
_symmetry_space_group_name_Hall '-P 4 2ab'
_cell_length_a 8.386
_cell_length_b 8.386
_cell_length_c 3.371
_cell_angle_alpha 90.00
_cell_angle_beta 90.00
_cell_angle_gamma 90.00
loop_
_atom_site_label
_atom_site_type_symbol
_atom_site_fract_x
_atom_site_fract_y
_atom_site_fract_z
Na1 Na 0.000 0.000 0.000
Y1 Y 0.147 0.353 0.000
Pd1 Pd 0.144 0.644 0.500
# Density of states at the Fermi level: 2.5 states/eV/f.u.
# Formation enthalpy at 0 K: -498 meV per atom
# Volume: 23.71 Å³/atom

=====

(11)
# Na2YPd2 PBE-GGA optimized geometry
data_Na2YPd2
_symmetry_space_group_name_H-M 'I 4/m m m'
_symmetry_Int_Tables_number 139
_symmetry_space_group_name_Hall '-I 4 2'
_cell_length_a 3.907
_cell_length_b 3.907
_cell_length_c 14.404
_cell_angle_alpha 90.00
_cell_angle_beta 90.00
_cell_angle_gamma 90.00
loop_
_atom_site_label
_atom_site_type_symbol
_atom_site_fract_x
_atom_site_fract_y
_atom_site_fract_z
Na1 Na 0.000 0.500 0.250
Y1 Y 0.000 0.000 0.000
Pd1 Pd 0.000 0.000 0.407
# Density of states at the Fermi level: 1.8 states/eV/f.u.
# Formation enthalpy at 0 K: -313 meV per atom
# Volume: 21.99 Å³/atom

=====

(12)
# Na3YPd PBE-GGA optimized geometry
data_Na3YPd
_symmetry_space_group_name_H-M 'P m -3 m'
_symmetry_Int_Tables_number 221
_symmetry_space_group_name_Hall '-P 4 2 3'
_cell_length_a 5.351
_cell_length_b 5.351
_cell_length_c 5.351
_cell_angle_alpha 90.00
_cell_angle_beta 90.00
_cell_angle_gamma 90.00
loop_
_atom_site_label
_atom_site_type_symbol
_atom_site_fract_x
_atom_site_fract_y
_atom_site_fract_z
Na1 Na 0.000 0.000 0.500
Y1 Y 0.500 0.500 0.500
Pd1 Pd 0.000 0.000 0.000
# Density of states at the Fermi level: 4.6 states/eV/f.u.
# Formation enthalpy at 0 K: 411 meV per atom
# Volume: 30.65 Å³/atom